# 1
DFT (PBE-GGA) results for K2As2PbO7 after structural relaxation.

Lattice parameters (Å, degrees): 5.9387 5.9387 22.8135 90.00 90.00 120.00
Space group R32 (No. 155, hexagonal axes)
Inequivalent atoms, fractional coordinates:
K (0.0000, 0.0000, 0.2050) [6 per cell]
As (0.0000, 0.0000, 0.4213) [6 per cell]
Pb (0.0000, 0.0000, 0.0000) [3 per cell]
O (0.0000, 0.0000, 0.5000) [3 per cell]
O (0.0297, 0.4166, 0.2610) [18 per cell]

Energy in eV/cell: -201.73

# 2
DFT (PBE-GGA) results for Zr2InMoC after structural relaxation.

Lattice parameters (Å, degrees): 4.6624 4.6624 4.1037 90.00 90.00 90.00
Space group P4/mmm (No. 123)
Inequivalent atoms, fractional coordinates:
Zr (0.0000, 0.5000, 0.0000) [2 per cell]
In (0.0000, 0.0000, 0.5000) [1 per cell]
Mo (0.5000, 0.5000, 0.5000) [1 per cell]
C (0.5000, 0.5000, 0.0000) [1 per cell]

Energy in eV/cell: -41.61

# 3
DFT (PBE-GGA) results for Ti2MoIr after structural relaxation.

Lattice parameters (Å, degrees): 6.9916 6.9916 5.4486 90.00 90.00 90.00
Space group I-42d (No. 122)
Inequivalent atoms, fractional coordinates:
Ti (0.2372, 0.2500, 0.1250) [8 per cell]
Mo (0.0000, 0.0000, 0.5000) [4 per cell]
Ir (0.0000, 0.0000, 0.0000) [4 per cell]

Energy in eV/cell: -140.82

# 4
DFT (PBE-GGA) results for BeSb2I after structural relaxation.

Lattice parameters (Å, degrees): 7.4119 7.4119 7.4119 90.00 90.00 90.00
Space group Fm-3m (No. 225)
Inequivalent atoms, fractional coordinates:
Be (0.0000, 0.0000, 0.0000) [4 per cell]
Sb (0.2500, 0.2500, 0.2500) [8 per cell]
I (0.0000, 0.0000, 0.5000) [4 per cell]

Energy in eV/cell: -40.67